A relaxed Cs2TePBr6 crystal, computed with PBE.

Lattice parameters (Å, degrees): 7.935 7.935 7.935 119.64 119.64 90.63
Fractional positions:
Cs  0.250  0.750  0.500
Cs  0.750  0.250  0.500
Te  0.000  0.000  0.000
P  0.500  0.500  0.000
Br  0.265  0.265  0.000
Br  0.268  0.268  0.537
Br  0.268  0.732  0.000
Br  0.732  0.268  0.000
Br  0.732  0.732  0.463
Br  0.735  0.735  0.000

As for the raw formation energy: -0.80 eV/atom. The calculation puts the calculated total energy at -28.3 eV per cell. Its space group is I4/mmm.

---

A relaxed Cs2TlPBr6 crystal, computed with PBE.

Lattice parameters (Å, degrees): 8.133 8.101 14.075 90.00 125.20 90.00
Fractional positions:
Cs  0.248  0.012  0.250
Cs  0.248  0.488  0.750
Cs  0.752  0.512  0.250
Cs  0.752  0.988  0.750
Tl  0.500  0.000  0.000
Tl  0.500  0.500  0.500
P  0.000  0.000  0.500
P  0.000  0.500  0.000
Br  0.196  0.243  0.488
Br  0.196  0.257  0.988
Br  0.228  0.709  0.987
Br  0.228  0.791  0.487
Br  0.249  0.501  0.225
Br  0.249  0.999  0.725
Br  0.751  0.001  0.275
Br  0.751  0.499  0.775
Br  0.772  0.209  0.513
Br  0.772  0.291  0.013
Br  0.804  0.743  0.012
Br  0.804  0.757  0.512

As for the raw formation energy: -1.01 eV/atom. The calculation puts the calculated total energy at -59.2 eV per cell. Its space group is P2_1/c.

---

A relaxed Cs2TlPBr6 crystal, computed with PBE.

Lattice parameters (Å, degrees): 8.116 8.116 8.116 60.00 60.00 60.00
Fractional positions:
Cs  0.250  0.250  0.250
Cs  0.750  0.750  0.750
Tl  0.000  0.000  0.000
P  0.500  0.500  0.500
Br  0.274  0.274  0.726
Br  0.274  0.726  0.274
Br  0.274  0.726  0.726
Br  0.726  0.274  0.274
Br  0.726  0.274  0.726
Br  0.726  0.726  0.274

As for the raw formation energy: -1.01 eV/atom. The calculation puts the calculated total energy at -29.6 eV per cell. Its space group is Fm-3m.

---

A relaxed Cs2ZnPBr6 crystal, computed with PBE.

Lattice parameters (Å, degrees): 7.978 7.978 7.978 121.10 121.10 88.11
Fractional positions:
Cs  0.250  0.750  0.500
Cs  0.750  0.250  0.500
Zn  0.000  0.000  0.000
P  0.500  0.500  0.000
Br  0.205  0.205  0.000
Br  0.269  0.269  0.538
Br  0.269  0.731  0.000
Br  0.731  0.269  0.000
Br  0.731  0.731  0.462
Br  0.795  0.795  0.000

As for the raw formation energy: -0.94 eV/atom. The calculation puts the calculated total energy at -27.8 eV per cell. Its space group is I4/mmm.

---

A relaxed Cs2ZrPBr6 crystal, computed with PBE.

Lattice parameters (Å, degrees): 8.451 8.451 8.451 125.85 125.85 80.13
Fractional positions:
Cs  0.250  0.750  0.500
Cs  0.750  0.250  0.500
Zr  0.000  0.000  0.000
P  0.500  0.500  0.000
Br  0.208  0.208  0.000
Br  0.246  0.246  0.492
Br  0.246  0.754  0.000
Br  0.754  0.246  0.000
Br  0.754  0.754  0.508
Br  0.792  0.792  0.000

As for the raw formation energy: -1.05 eV/atom. The calculation puts the calculated total energy at -36.2 eV per cell. Its space group is I4/mmm.

---

A relaxed Cs3PaBr6 crystal, computed with PBE.

Lattice parameters (Å, degrees): 8.599 9.065 15.002 90.00 124.93 90.00
Fractional positions:
Cs  0.000  0.000  0.000
Cs  0.000  0.500  0.500
Cs  0.276  0.072  0.749
Cs  0.276  0.428  0.249
Cs  0.724  0.572  0.751
Cs  0.724  0.928  0.251
Pa  0.500  0.000  0.500
Pa  0.500  0.500  0.000
Br  0.157  0.048  0.279
Br  0.157  0.452  0.779
Br  0.284  0.678  0.058
Br  0.284  0.822  0.558
Br  0.403  0.231  0.070
Br  0.403  0.269  0.570
Br  0.597  0.731  0.430
Br  0.597  0.769  0.930
Br  0.716  0.178  0.442
Br  0.716  0.322  0.942
Br  0.843  0.548  0.221
Br  0.843  0.952  0.721

As for the raw formation energy: -1.61 eV/atom. The energy above the most stable polymorph in this dataset is 0.0 meV/atom. The calculation puts the calculated total energy at -76.3 eV per cell. Its space group is P2_1/c.

---

A relaxed CsPaBr5 crystal, computed with PBE.

Lattice parameters (Å, degrees): 8.156 8.156 11.575 109.30 109.30 69.11
Fractional positions:
Cs  0.027  0.973  0.750
Cs  0.973  0.027  0.250
Pa  0.500  0.500  0.000
Pa  0.500  0.500  0.500
Br  0.134  0.680  0.982
Br  0.173  0.423  0.389
Br  0.320  0.866  0.518
Br  0.423  0.173  0.889
Br  0.449  0.551  0.750
Br  0.551  0.449  0.250
Br  0.577  0.827  0.111
Br  0.680  0.134  0.482
Br  0.827  0.577  0.611
Br  0.866  0.320  0.018

As for the raw formation energy: -1.58 eV/atom. The calculation puts the calculated total energy at -59.5 eV per cell. Its space group is C2/c.

---

A relaxed CsPaBr6 crystal, computed with PBE.

Lattice parameters (Å, degrees): 8.363 8.363 8.363 55.14 55.14 55.14
Fractional positions:
Cs  0.000  0.000  0.000
Pa  0.500  0.500  0.500
Br  0.095  0.591  0.591
Br  0.409  0.409  0.905
Br  0.409  0.905  0.409
Br  0.591  0.095  0.591
Br  0.591  0.591  0.095
Br  0.905  0.409  0.409

As for the raw formation energy: -1.57 eV/atom. The calculation puts the calculated total energy at -32.9 eV per cell. Its space group is R-3m.

---

A relaxed Cs3PaBr6 crystal, computed with PBE.

Lattice parameters (Å, degrees): 9.966 9.250 8.290 69.00 60.06 50.95
Fractional positions:
Cs  0.000  0.000  0.000
Cs  0.250  0.250  0.250
Cs  0.750  0.750  0.750
Pa  0.500  0.500  0.500
Br  0.166  0.570  0.834
Br  0.274  0.726  0.274
Br  0.430  0.834  0.570
Br  0.570  0.166  0.430
Br  0.726  0.274  0.726
Br  0.834  0.430  0.166

As for the raw formation energy: -1.55 eV/atom. The energy above the most stable polymorph in this dataset is 54.2 meV/atom. The calculation puts the calculated total energy at -37.6 eV per cell. Its space group is Fmmm.

---

A relaxed Cs2PaBr8 crystal, computed with PBE.

Lattice parameters (Å, degrees): 12.596 12.596 7.194 105.33 105.33 23.94
Fractional positions:
Cs  0.174  0.174  0.159
Cs  0.826  0.826  0.841
Pa  0.500  0.500  0.500
Br  0.021  0.021  0.731
Br  0.223  0.223  0.691
Br  0.392  0.392  0.255
Br  0.436  0.436  0.760
Br  0.564  0.564  0.240
Br  0.608  0.608  0.745
Br  0.777  0.777  0.309
Br  0.979  0.979  0.269

As for the raw formation energy: -1.29 eV/atom. The calculation puts the calculated total energy at -38.7 eV per cell. Its space group is C2/m.

---

A relaxed Cs2PaBr7 crystal, computed with PBE.

Lattice parameters (Å, degrees): 10.551 10.551 13.770 127.61 127.61 49.09
Fractional positions:
Cs  0.143  0.209  0.075
Cs  0.209  0.143  0.575
Cs  0.791  0.857  0.425
Cs  0.857  0.791  0.925
Pa  0.435  0.565  0.750
Pa  0.565  0.435  0.250
Br  0.111  0.889  0.750
Br  0.194  0.595  0.206
Br  0.228  0.441  0.492
Br  0.270  0.558  0.846
Br  0.405  0.806  0.294
Br  0.441  0.228  0.992
Br  0.442  0.730  0.654
Br  0.558  0.270  0.346
Br  0.559  0.772  0.008
Br  0.595  0.194  0.706
Br  0.730  0.442  0.154
Br  0.772  0.559  0.508
Br  0.806  0.405  0.794
Br  0.889  0.111  0.250

As for the raw formation energy: -1.58 eV/atom. The calculation puts the calculated total energy at -77.4 eV per cell. Its space group is C2/c.

---

A relaxed CsPa2Br11 crystal, computed with PBE.

Lattice parameters (Å, degrees): 12.212 12.212 12.212 112.79 112.77 103.04
Fractional positions:
Cs  0.250  0.250  0.000
Cs  0.750  0.750  0.000
Pa  0.151  0.653  0.804
Pa  0.349  0.153  0.502
Pa  0.651  0.847  0.498
Pa  0.849  0.347  0.196
Br  0.000  0.500  0.500
Br  0.079  0.377  0.204
Br  0.122  0.424  0.797
Br  0.126  0.924  0.302
Br  0.173  0.875  0.796
Br  0.211  0.292  0.503
Br  0.289  0.792  0.081
Br  0.327  0.123  0.702
Br  0.374  0.676  0.797
Br  0.378  0.176  0.302
Br  0.421  0.625  0.298
Br  0.500  0.000  0.500
Br  0.579  0.375  0.702
Br  0.622  0.824  0.698
Br  0.626  0.324  0.203
Br  0.673  0.877  0.298
Br  0.711  0.208  0.919
Br  0.789  0.708  0.497
Br  0.827  0.125  0.204
Br  0.874  0.076  0.698
Br  0.878  0.576  0.203
Br  0.921  0.623  0.796

As for the raw formation energy: -1.49 eV/atom. The calculation puts the calculated total energy at -118.2 eV per cell. Its space group is Ibam.